No. 1
This record from the Alexandria database describes an optimized crystal structure of Tb6In2CN. The functional is GGA-PBE.

Structure (POSCAR):
```
Tb6In2CN
1.0
0.000 4.902 4.902
4.902 0.000 4.902
4.902 4.902 0.000
Tb In C N
6 2 1 1
Cartesian
4.902 4.902 2.456
4.902 2.456 4.902
7.349 4.902 4.902
2.456 4.902 4.902
4.902 7.349 4.902
4.902 4.902 7.349
2.451 2.451 2.451
7.354 7.354 7.354
0.000 0.000 0.000
4.902 4.902 4.902
```

Results
**Crystal system**: cubic
**ρ**: 8.5 Mg/m³
**Total moment**: 0.0 μB/cell
**Formation energy without anion corrections**: -746 meV/atom
**Electronic total energy**: -5.83 eV per atom

---

No. 2
This record from the Alexandria database describes an optimized crystal structure of InTcC2N. The functional is GGA-PBE.

Structure (POSCAR):
```
InTcC2N
1.0
4.199 0.000 0.000
0.000 4.199 0.000
0.000 0.000 3.776
In Tc C N
1 1 2 1
Cartesian
0.000 0.000 0.000
2.099 2.099 0.000
0.000 2.099 1.888
2.099 0.000 1.888
2.099 2.099 1.888
```

Results
**Crystal system**: tetragonal
**ρ**: 6.3 Mg/m³
**Total moment**: 0.0 μB/cell
**Formation energy without anion corrections**: 2283 meV/atom
**Electronic total energy**: -5.69 eV per atom

---

No. 3
This record from the Alexandria database describes an optimized crystal structure of InTe2CN. The functional is GGA-PBE.

Structure (POSCAR):
```
InTe2CN
1.0
6.706 0.000 0.000
0.000 6.706 0.000
0.000 0.000 2.677
In Te C N
1 2 1 1
Cartesian
0.000 0.000 0.000
0.000 3.353 1.339
3.353 0.000 1.339
3.353 3.353 1.339
3.353 3.353 0.000
```

Results
**ΔE to the lowest computed polymorph**: 0.0 meV/atom
**Crystal system**: tetragonal
**ρ**: 5.5 Mg/m³
**Total moment**: 0.0 μB/cell
**Formation energy without anion corrections**: 816 meV/atom
**Electronic total energy**: -4.50 eV per atom

---

No. 4
This record from the Alexandria database describes an optimized crystal structure of InTeCN2. The functional is GGA-PBE.

Structure (POSCAR):
```
InTeCN2
1.0
4.023 0.000 0.000
0.000 4.023 0.000
0.000 0.000 4.540
In Te C N
1 1 1 2
Cartesian
0.000 0.000 0.000
2.011 2.011 0.000
2.011 2.011 2.270
0.000 2.011 2.270
2.011 0.000 2.270
```

Results
**ΔE to the lowest computed polymorph**: 0.0 meV/atom
**Crystal system**: tetragonal
**ρ**: 6.4 Mg/m³
**Total moment**: 2.2 μB/cell
**Formation energy without anion corrections**: 2278 meV/atom
**Electronic total energy**: -4.07 eV per atom

---

No. 5
This record from the Alexandria database describes an optimized crystal structure of InTeCN2. The functional is GGA-PBE.

Structure (POSCAR):
```
InTeCN2
1.0
4.085 0.000 0.000
0.000 4.085 0.000
0.000 0.000 6.689
In Te C N
1 1 1 2
Cartesian
0.000 0.000 0.000
0.000 0.000 3.344
2.043 2.043 3.344
0.000 2.043 0.000
2.043 0.000 0.000
```

Results
**ΔE to the lowest computed polymorph**: 310.2 meV/atom
**Crystal system**: tetragonal
**ρ**: 4.2 Mg/m³
**Total moment**: 4.0 μB/cell
**Formation energy without anion corrections**: 2588 meV/atom
**Electronic total energy**: -3.76 eV per atom

---

No. 6
This record from the Alexandria database describes an optimized crystal structure of InTe2CN. The functional is GGA-PBE.

Structure (POSCAR):
```
InTe2CN
1.0
5.699 0.000 0.000
0.000 5.699 0.000
0.000 0.000 4.183
In Te C N
1 2 1 1
Cartesian
0.000 0.000 0.000
0.000 2.850 0.000
2.850 0.000 0.000
2.850 2.850 2.091
0.000 0.000 2.091
```

Results
**ΔE to the lowest computed polymorph**: 1410.6 meV/atom
**Crystal system**: tetragonal
**ρ**: 4.8 Mg/m³
**Total moment**: 2.2 μB/cell
**Formation energy without anion corrections**: 2227 meV/atom
**Electronic total energy**: -3.09 eV per atom